## CrCu2O6 (PBE with a Hubbard U)

Data for crystalline CrCu2O6 at its relaxed geometry.

Cell lengths 5.575, 5.575, 9.078 Å; angles 90.00, 90.00, 119.10 degrees
Fractional coordinates of all 18 atoms:
Cr  0.039  0.961  0.750
Cr  0.961  0.039  0.250
Cu  0.000  0.500  0.000
Cu  0.000  0.500  0.500
Cu  0.500  0.000  0.000
Cu  0.500  0.000  0.500
O  0.144  0.856  0.589
O  0.144  0.856  0.911
O  0.172  0.289  0.750
O  0.289  0.172  0.250
O  0.338  0.662  0.082
O  0.338  0.662  0.418
O  0.662  0.338  0.582
O  0.662  0.338  0.918
O  0.711  0.828  0.750
O  0.828  0.711  0.250
O  0.856  0.144  0.089
O  0.856  0.144  0.411

Calculated values
The calculation puts the density of states at the Fermi level at 4.937 states/eV/f.u. The density is 3.7 g cm⁻³. As for the final energy: -5.62 eV per atom.